one) NbSe3O: optimized geometry, PBE.

Cell: 4.4059 4.4059 4.4059 Å, 90.00 90.00 90.00°
Fractional coordinates of all 5 atoms:
Se  0.5000  0.0000  0.0000
Se  0.0000  0.0000  0.5000
Se  0.0000  0.5000  0.0000
O  0.0000  0.0000  0.0000
Nb  0.5000  0.5000  0.5000

Properties
space-group type: No. 221
mass density: 6713 kg/m3

=====

two) NbSe3O: optimized geometry, PBE.

Cell: 4.9811 4.9811 4.9811 Å, 90.00 90.00 90.00°
Fractional coordinates of all 5 atoms:
Se  0.0000  0.5000  0.0000
Se  0.5000  0.0000  0.0000
Se  0.0000  0.0000  0.5000
O  0.5000  0.5000  0.5000
Nb  0.0000  0.0000  0.0000

Properties
space-group type: No. 221
mass density: 4646 kg/m3

=====

Most stable: one). Least stable: two).

=====

one) Nb2SiO: optimized geometry, PBE.

Cell: 4.3052 4.3052 4.3052 Å, 60.00 60.00 60.00°
Fractional coordinates of all 4 atoms:
Si  0.5000  0.5000  0.5000
Nb  0.2500  0.2500  0.2500
Nb  0.7500  0.7500  0.7500
O  0.0000  0.0000  0.0000

Properties
space-group type: No. 225
mass density: 6766 kg/m3

=====

two) Nb2SiO: optimized geometry, PBE.

Cell: 5.0034 5.0034 6.6996 Å, 68.07 68.07 90.00°
Fractional coordinates of all 8 atoms:
Si  0.7500  0.2500  0.5000
Si  0.0000  0.0000  0.0000
Nb  0.3750  0.4593  0.7500
Nb  0.8750  0.7907  0.7500
Nb  0.5407  0.1250  0.2500
Nb  0.2093  0.6250  0.2500
O  0.2500  0.7500  0.5000
O  0.5000  0.5000  0.0000

Properties
space-group type: No. 122
mass density: 5361 kg/m3

=====

Most stable: two). Least stable: one).

=====

one) Nb2SiO2: optimized geometry, PBE.

Cell: 3.4671 3.4671 5.9358 Å, 73.02 73.02 90.00°
Fractional coordinates of all 5 atoms:
O  0.2500  0.7500  0.5000
O  0.7500  0.2500  0.5000
Si  0.0000  0.0000  0.0000
Nb  0.6330  0.6330  0.7339
Nb  0.3670  0.3670  0.2661

Properties
space-group type: No. 139
mass density: 6284 kg/m3

=====

two) Nb2SiO2: optimized geometry, PBE.

Cell: 6.7842 6.7842 2.7173 Å, 90.00 90.00 90.00°
Fractional coordinates of all 10 atoms:
Si  0.0000  0.0000  0.0000
Si  0.5000  0.5000  0.0000
Nb  0.6610  0.1610  0.0000
Nb  0.3390  0.8390  0.0000
Nb  0.1610  0.3390  0.0000
Nb  0.8390  0.6610  0.0000
O  0.8779  0.3779  0.5000
O  0.6221  0.8779  0.5000
O  0.1221  0.6221  0.5000
O  0.3779  0.1221  0.5000

Properties
space-group type: No. 127
mass density: 6530 kg/m3

=====

Most stable: one). Least stable: two).

=====

one) Sm3NbO7: optimized geometry, PBE.

Cell: 6.6479 6.6479 7.6334 Å, 90.00 90.00 108.53°
Fractional coordinates of all 22 atoms:
Sm  0.5400  0.5400  0.5000
Sm  0.4600  0.4600  0.0000
Sm  0.5371  0.9987  0.7612
Sm  0.0013  0.4629  0.7388
Sm  0.4629  0.0013  0.2612
Sm  0.9987  0.5371  0.2388
Nb  0.9976  0.9976  0.0000
Nb  0.0024  0.0024  0.5000
O  0.6390  0.3610  0.7500
O  0.9339  0.0661  0.7500
O  0.9550  0.6999  0.9538
O  0.9177  0.6732  0.5210
O  0.6290  0.3710  0.2500
O  0.3610  0.6390  0.2500
O  0.6732  0.9177  0.4790
O  0.0823  0.3268  0.0210
O  0.3710  0.6290  0.7500
O  0.6999  0.9550  0.0462
O  0.3001  0.0450  0.5462
O  0.0661  0.9339  0.2500
O  0.0450  0.3001  0.4538
O  0.3268  0.0823  0.9790

Properties
space-group type: No. 20
mass density: 6811 kg/m3

=====

two) Sm3NbO7: optimized geometry, PBE.

Cell: 6.5993 6.5993 7.6707 Å, 90.00 90.00 110.88°
Fractional coordinates of all 22 atoms:
O  0.5749  0.5749  0.7500
O  0.4372  0.1811  0.5352
O  0.8464  0.1098  0.7500
O  0.8902  0.1536  0.2500
O  0.8189  0.5628  0.0352
O  0.1811  0.4372  0.5352
O  0.1811  0.4372  0.9648
O  0.1536  0.8902  0.2500
O  0.5628  0.8189  0.0352
O  0.1098  0.8464  0.7500
O  0.8189  0.5628  0.4648
O  0.4251  0.4251  0.2500
O  0.5628  0.8189  0.4648
O  0.4372  0.1811  0.9648
Sm  0.0000  0.0000  0.5000
Sm  0.0000  0.0000  0.0000
Sm  0.9347  0.4806  0.7500
Sm  0.0653  0.5194  0.2500
Sm  0.4806  0.9347  0.7500
Sm  0.5194  0.0653  0.2500
Nb  0.5000  0.5000  0.5000
Nb  0.5000  0.5000  0.0000

Properties
space-group type: No. 63
mass density: 6980 kg/m3

=====

Most stable: one). Least stable: two).

=====

one) Nb2SnO: optimized geometry, PBE.

Cell: 4.5486 4.5486 4.5486 Å, 60.00 60.00 60.00°
Fractional coordinates of all 4 atoms:
Nb  0.7500  0.7500  0.7500
Nb  0.2500  0.2500  0.2500
O  0.0000  0.0000  0.0000
Sn  0.5000  0.5000  0.5000

Properties
space-group type: No. 225
mass density: 7998 kg/m3

=====

two) Nb2SnO: optimized geometry, PBE.

Cell: 5.2510 5.2510 7.0290 Å, 68.07 68.07 90.00°
Fractional coordinates of all 8 atoms:
Nb  0.3750  0.5220  0.7500
Nb  0.8750  0.7280  0.7500
Nb  0.2720  0.6250  0.2500
Nb  0.4780  0.1250  0.2500
O  0.2500  0.7500  0.5000
O  0.5000  0.5000  0.0000
Sn  0.0000  0.0000  0.0000
Sn  0.7500  0.2500  0.5000

Properties
space-group type: No. 122
mass density: 6468 kg/m3

=====

Most stable: two). Least stable: one).

=====

one) Nb2SnO6: optimized geometry, PBE.

Cell: 7.2535 7.5120 7.5120 Å, 54.86 64.71 64.71°
Fractional coordinates of all 18 atoms:
Sn  0.2500  0.3357  0.6643
Sn  0.7500  0.6643  0.3357
O  0.5432  0.0768  0.7506
O  0.0198  0.7648  0.6815
O  0.7830  0.9330  0.4015
O  0.2830  0.4015  0.9330
O  0.7170  0.5985  0.0670
O  0.2170  0.0670  0.5985
O  0.4568  0.9232  0.2494
O  0.5198  0.6815  0.7648
O  0.4802  0.3185  0.2352
O  0.9802  0.2352  0.3185
O  0.9568  0.2494  0.9232
O  0.0432  0.7506  0.0768
Nb  0.2029  0.7485  0.8132
Nb  0.7971  0.2515  0.1868
Nb  0.7029  0.8132  0.7485
Nb  0.2971  0.1868  0.2515

Properties
space-group type: No. 15
mass density: 4534 kg/m3

=====

two) Nb2SnO6: optimized geometry, PBE.

Cell: 9.0501 9.0501 5.7079 Å, 87.96 87.96 31.80°
Fractional coordinates of all 18 atoms:
O  0.8366  0.7242  0.8529
O  0.0081  0.8460  0.0921
O  0.9919  0.1540  0.9079
O  0.7242  0.8366  0.3529
O  0.3236  0.3909  0.4182
O  0.1540  0.9919  0.4079
O  0.1634  0.2758  0.1471
O  0.2758  0.1634  0.6471
O  0.3909  0.3236  0.9182
O  0.6764  0.6091  0.5818
O  0.6091  0.6764  0.0818
O  0.8460  0.0081  0.5921
Nb  0.9285  0.4120  0.8264
Nb  0.0715  0.5880  0.1736
Nb  0.5880  0.0715  0.6736
Nb  0.4120  0.9285  0.3264
Sn  0.7744  0.2256  0.2500
Sn  0.2256  0.7744  0.7500

Properties
space-group type: No. 15
mass density: 5404 kg/m3

=====

Most stable: two). Least stable: one).

=====

one) Sr5Nb4O15: optimized geometry, PBE.

Cell: 5.7410 5.7410 11.6685 Å, 89.90 89.90 59.98°
Fractional coordinates of all 24 atoms:
Sr  0.0000  0.0000  0.0000
Sr  0.6671  0.6671  0.4388
Sr  0.3335  0.3335  0.2196
Sr  0.6665  0.6665  0.7804
Sr  0.3329  0.3329  0.5612
O  0.1689  0.6607  0.3922
O  0.1691  0.1691  0.3918
O  0.3393  0.8311  0.6078
O  0.0000  0.5000  0.0000
O  0.6708  0.1660  0.8064
O  0.8309  0.8309  0.6082
O  0.3292  0.8340  0.1936
O  0.1660  0.6708  0.8064
O  0.8340  0.3292  0.1936
O  0.8338  0.8338  0.1944
O  0.5000  0.5000  0.0000
O  0.6607  0.1689  0.3922
O  0.1662  0.1662  0.8056
O  0.8311  0.3393  0.6078
O  0.5000  0.0000  0.0000
Nb  0.6664  0.6664  0.1058
Nb  0.0002  0.0002  0.6795
Nb  0.3336  0.3336  0.8942
Nb  0.9998  0.9998  0.3205

Properties
space-group type: No. 12
mass density: 5235 kg/m3

=====

two) Sr5Nb4O15: optimized geometry, PBE.

Cell: 5.7403 5.7403 23.3277 Å, 90.00 90.00 120.00°
Fractional coordinates of all 48 atoms:
O  0.0948  0.7632  0.5558
O  0.0000  0.5477  0.7500
O  0.9052  0.6684  0.9442
O  0.0948  0.3316  0.0558
O  0.7828  0.1141  0.1542
O  0.6684  0.7632  0.0558
O  0.2368  0.9052  0.0558
O  0.1141  0.3313  0.8458
O  0.6687  0.7828  0.8458
O  0.1141  0.7828  0.3458
O  0.3313  0.2172  0.1542
O  0.8859  0.2172  0.6542
O  0.6684  0.9052  0.5558
O  0.9052  0.2368  0.4442
O  0.3316  0.0948  0.4442
O  0.0000  0.4523  0.2500
O  0.2172  0.3313  0.3458
O  0.8859  0.6687  0.1542
O  0.2172  0.8859  0.8458
O  0.3313  0.1141  0.6542
O  0.7632  0.6684  0.4442
O  0.2368  0.3316  0.5558
O  0.4523  0.4523  0.7500
O  0.7632  0.0948  0.9442
O  0.6687  0.8859  0.3458
O  0.5477  0.5477  0.2500
O  0.7828  0.6687  0.6542
O  0.5477  0.0000  0.7500
O  0.3316  0.2368  0.9442
O  0.4523  0.0000  0.2500
Sr  0.3333  0.6667  0.6411
Sr  0.6667  0.3333  0.5285
Sr  0.3333  0.6667  0.9715
Sr  0.3333  0.6667  0.1411
Sr  0.3333  0.6667  0.4715
Sr  0.6667  0.3333  0.8589
Sr  0.0000  0.0000  0.2500
Sr  0.6667  0.3333  0.0285
Sr  0.6667  0.3333  0.3589
Sr  0.0000  0.0000  0.7500
Nb  0.6667  0.3333  0.1973
Nb  0.6667  0.3333  0.6973
Nb  0.0000  0.0000  0.9089
Nb  0.0000  0.0000  0.4089
Nb  0.3333  0.6667  0.3027
Nb  0.0000  0.0000  0.5911
Nb  0.0000  0.0000  0.0911
Nb  0.3333  0.6667  0.8027

Properties
space-group type: No. 165
mass density: 5237 kg/m3

=====

Most stable: two). Least stable: one).

=====

one) SrNb2O4: optimized geometry, PBE.

Cell: 5.1509 5.9485 12.6270 Å, 90.00 90.00 90.00°
Fractional coordinates of all 28 atoms:
Sr  0.6985  0.2500  0.5039
Sr  0.3015  0.2500  0.0039
Sr  0.3015  0.7500  0.4961
Sr  0.6985  0.7500  0.9961
O  0.0112  0.7500  0.8545
O  0.9894  0.7500  0.1484
O  0.4919  0.9957  0.1437
O  0.0112  0.2500  0.6455
O  0.5081  0.4957  0.8563
O  0.9894  0.2500  0.3516
O  0.9888  0.7500  0.3545
O  0.0106  0.2500  0.8516
O  0.5081  0.0043  0.8563
O  0.5081  0.9957  0.6437
O  0.4919  0.0043  0.3563
O  0.9888  0.2500  0.1455
O  0.0106  0.7500  0.6484
O  0.4919  0.5043  0.1437
O  0.4919  0.4957  0.3563
O  0.5081  0.5043  0.6437
Nb  0.8443  0.0000  0.7500
Nb  0.6584  0.2500  0.2473
Nb  0.3416  0.7500  0.7527
Nb  0.1557  0.0000  0.2500
Nb  0.3416  0.2500  0.7473
Nb  0.6584  0.7500  0.2527
Nb  0.1557  0.5000  0.2500
Nb  0.8443  0.5000  0.7500

Properties
space-group type: No. 57
mass density: 5793 kg/m3

=====

two) SrNb2O4: optimized geometry, PBE.

Cell: 3.1144 5.2335 6.2275 Å, 86.35 104.48 90.00°
Fractional coordinates of all 7 atoms:
Nb  0.7515  0.7894  0.5031
Nb  0.2485  0.2106  0.4969
O  0.1574  0.5988  0.3148
O  0.6339  0.1251  0.2677
O  0.8426  0.4012  0.6852
O  0.3661  0.8749  0.7323
Sr  0.5000  0.5000  0.0000

Properties
space-group type: No. 12
mass density: 5714 kg/m3

=====

Most stable: one). Least stable: two).

=====

one) TaNbO2: optimized geometry, PBE.

Cell: 7.0905 7.0905 7.0905 Å, 23.76 23.76 23.76°
Fractional coordinates of all 4 atoms:
O  0.9022  0.9022  0.9022
O  0.0978  0.0978  0.0978
Ta  0.0000  0.0000  0.0000
Nb  0.5000  0.5000  0.5000

Properties
space-group type: No. 166
mass density: 9988 kg/m3

=====

two) TaNbO2: optimized geometry, PBE.

Cell: 4.0653 4.0653 6.9501 Å, 72.99 72.99 90.00°
Fractional coordinates of all 8 atoms:
O  0.6400  0.1250  0.2500
O  0.3750  0.3600  0.7500
O  0.1100  0.6250  0.2500
O  0.8750  0.8900  0.7500
Nb  0.5000  0.5000  0.0000
Nb  0.2500  0.7500  0.5000
Ta  0.7500  0.2500  0.5000
Ta  0.0000  0.0000  0.0000

Properties
space-group type: No. 122
mass density: 9713 kg/m3

=====

Most stable: one). Least stable: two).